# 1
DFT (GGA-PBE) results for BaRu2Au after structural relaxation.

Calculated values
VASP energy ... -19.93 eV per cell
Energy of formation from the pure elements ... 3.8 eV/f.u.
V ... 81.8 Å³ per cell
Energy above the most stable polymorph in this dataset ... 0.827 eV per atom

Cell lengths 5.4542, 5.4542, 2.9662 Å; angles 90.00, 90.00, 112.06 degrees
With the nearest neighbours (Å) after each atom.
Fractional positions:
Ba: 0.0000 0.0000 0.0000  2 Ba 2.97, 2 Au 3.05, 8 Ru 3.10
Ru: 0.0000 0.5000 0.5000  4 Ru 2.97-3.05, 4 Ba 3.10, 4 Au 3.10
Ru: 0.5000 0.0000 0.5000  4 Ru 2.97-3.05, 4 Ba 3.10, 4 Au 3.10
Au: 0.5000 0.5000 0.0000  2 Au 2.97, 2 Ba 3.05, 8 Ru 3.10



# 2
DFT (GGA-PBE) results for BaCe2O after structural relaxation.

Calculated values
VASP energy ... -23.05 eV per cell
Formation energy without anion corrections ... -4.304 eV per formula unit
V ... 115.5 Å³ per cell

Cell lengths 10.0292, 10.0292, 10.0292 Å; angles 21.19, 21.19, 21.19 degrees
With the nearest neighbours (Å) after each atom.
Fractional positions:
Ba: 0.0000 0.0000 0.0000  2 Ce 3.60, 6 Ba 3.69
Ce: 0.1223 0.1223 0.1223  3 O 2.50
Ce: 0.8777 0.8777 0.8777  3 O 2.50
O: 0.5000 0.5000 0.5000  6 Ce 2.50